This record from Alexandria describes GaIr3I at its PBEsol-relaxed geometry. The functional is SCAN.

Unit cell a=4.8317 b=4.8317 c=4.8317 alpha=90.00 beta=90.00 gamma=90.00
Sites, in units of the cell vectors:
I1 0.0000 0.0000 0.0000
Ir1 0.0000 0.5000 0.0000
Ir2 0.0000 0.0000 0.5000
Ir3 0.5000 0.0000 0.0000
Ga1 0.5000 0.5000 0.5000

ρ, Mg/m³: 11.38
Uncorrected energy, eV/atom: -51.099

This record from Alexandria describes Ga3IrI at its PBEsol-relaxed geometry. The functional is SCAN.

Unit cell a=4.8606 b=4.8606 c=4.8606 alpha=90.00 beta=90.00 gamma=90.00
Sites, in units of the cell vectors:
I1 0.5000 0.5000 0.5000
Ir1 0.0000 0.0000 0.0000
Ga1 0.0000 0.5000 0.0000
Ga2 0.0000 0.0000 0.5000
Ga3 0.5000 0.0000 0.0000

ρ, Mg/m³: 7.64
Uncorrected energy, eV/atom: -31.755

This record from Alexandria describes KGa2I at its PBEsol-relaxed geometry. The functional is SCAN.

Unit cell a=5.5083 b=5.5083 c=5.5083 alpha=60.00 beta=60.00 gamma=60.00
Sites, in units of the cell vectors:
I1 0.5000 0.5000 0.5000
K1 0.0000 0.0000 0.0000
Ga1 0.2500 0.2500 0.2500
Ga2 0.7500 0.7500 0.7500

ρ, Mg/m³: 4.29
Uncorrected energy, eV/atom: -19.234

This record from Alexandria describes KGaI4 at its PBEsol-relaxed geometry. The functional is SCAN.

Unit cell a=7.7942 b=8.1801 c=15.9342 alpha=95.11 beta=90.00 gamma=90.00
Sites, in units of the cell vectors:
I1 0.6561 0.1360 0.5856
I2 0.1561 0.8640 0.9144
I3 0.3439 0.8640 0.4144
I4 0.8439 0.1360 0.0856
I5 0.0928 0.4133 0.2805
I6 0.5928 0.5867 0.2195
I7 0.9072 0.5867 0.7195
I8 0.4072 0.4133 0.7805
I9 0.8472 0.9903 0.3377
I10 0.3472 0.0097 0.1623
I11 0.1528 0.0097 0.6623
I12 0.6528 0.9903 0.8377
I13 0.2646 0.4249 0.0321
I14 0.7646 0.5751 0.4679
I15 0.7354 0.5751 0.9679
I16 0.2354 0.4249 0.5321
K1 0.0056 0.2608 0.8587
K2 0.5056 0.7392 0.6413
K3 0.9944 0.7392 0.1413
K4 0.4944 0.2608 0.3587
Ga1 0.1365 0.2425 0.1390
Ga2 0.6365 0.7575 0.3610
Ga3 0.8635 0.7575 0.8610
Ga4 0.3635 0.2425 0.6390

ρ, Mg/m³: 4.05
Uncorrected energy, eV/atom: -29.532